(1)
Entry from the Alexandria database: BWS after structural relaxation (PBE-GGA).

Values from the calculation:
As for the uncorrected formation energy: -0.252 eV/atom. The magnetic moment comes out at 0.0 μB per cell.

Cell lengths 3.0912, 3.0024, 10.3704 Å; angles 90.00, 98.48, 90.00 degrees
Closest atoms and distances in Å follow each position.
Space group P2_1/m (No. 11)
Asymmetric unit:
B1 0.0220 0.2500 0.0444 [2 per cell]  2 B 1.76
W1 0.4329 0.2500 0.8644 [2 per cell]  6 B 2.35-2.41, 2 S 2.35
S1 0.3461 0.7500 0.6879 [2 per cell]  2 W 2.35

=====

(2)
Entry from the Alexandria database: Ba2ThMnSe5 after structural relaxation (PBE-GGA).

Values from the calculation:
As for the uncorrected formation energy: -1.618 eV/atom. The magnetic moment comes out at 20.0 μB per cell.

Cell lengths 4.4135, 18.8129, 13.5218 Å; angles 90.00, 90.00, 90.00 degrees
Closest atoms and distances in Å follow each position.
Space group Cmc2_1 (No. 36)
Asymmetric unit:
Ba1 0.0000 0.1112 0.0000 [4 per cell]  6 Se 3.27-3.63
Ba2 0.0000 0.1200 0.6431 [4 per cell]  7 Se 3.24-3.62
Th1 0.0000 0.2006 0.3366 [4 per cell]  6 Se 2.85-2.99
Mn1 0.0000 0.4433 0.7467 [4 per cell]  4 Se 2.45-2.63
Se1 0.0000 0.0453 0.3425 [4 per cell]  2 Mn 2.57
Se2 0.0000 0.2950 0.9796 [4 per cell]  2 Th 2.94
Se3 0.0000 0.3097 0.6886 [4 per cell]  1 Mn 2.63
Se4 0.0000 0.3520 0.3233 [4 per cell]  1 Th 2.85
Se5 0.0000 0.4986 0.0845 [4 per cell]  1 Mn 2.45

=====

(3)
Entry from the Alexandria database: CaIr2Ru after structural relaxation (PBE-GGA).

Values from the calculation:
The calculation puts the formation energy at 0.43 eV per atom. The magnetic moment comes out at 0.1 μB per cell.

Cell lengths 6.4115, 6.4115, 6.4115 Å; angles 90.00, 90.00, 90.00 degrees
Closest atoms and distances in Å follow each position.
Space group F-43m (No. 216)
Asymmetric unit:
Ca1 0.0000 0.0000 0.0000 [4 per cell]  4 Ru 2.78, 4 Ir 2.78
Ir1 0.0000 0.0000 0.5000 [4 per cell]  4 Ir 2.78, 4 Ru 2.78
Ir2 0.2500 0.2500 0.7500 [4 per cell]  4 Ca 2.78, 4 Ir 2.78
Ru1 0.2500 0.2500 0.2500 [4 per cell]  4 Ca 2.78, 4 Ir 2.78

=====

(4)
Entry from the Alexandria database: SbRuPt2 after structural relaxation (PBE-GGA).

Values from the calculation:
As for the uncorrected formation energy: -0.096 eV/atom. The magnetic moment comes out at 0.0 μB per cell.

Cell lengths 3.9444, 3.9444, 4.2008 Å; angles 90.00, 90.00, 90.00 degrees
Closest atoms and distances in Å follow each position.
Space group P4/mmm (No. 123)
Asymmetric unit:
Sb1 0.0000 0.0000 0.0000 [1 per cell]  4 Ru 2.79, 8 Pt 2.88
Ru1 0.5000 0.5000 0.0000 [1 per cell]  4 Sb 2.79, 8 Pt 2.88
Pt1 0.0000 0.5000 0.5000 [2 per cell]  4 Pt 2.79, 4 Sb 2.88, 4 Ru 2.88

=====

(5)
Entry from the Alexandria database: Tb2Pm3Th3 after structural relaxation (PBE-GGA).

Values from the calculation:
The calculation puts the formation energy at 0.06 eV per atom. The magnetic moment comes out at 0.0 μB per cell.

Cell lengths 5.0631, 5.1181, 10.1653 Å; angles 90.00, 90.00, 90.00 degrees
Closest atoms and distances in Å follow each position.
Space group Pmmm (No. 47)
Asymmetric unit:
Tb1 0.0000 0.0000 0.2463 [2 per cell]  6 Pm 3.56-3.63, 6 Th 3.58-3.60
Pm1 0.0000 0.5000 0.5000 [1 per cell]  4 Pm 3.60, 4 Th 3.61, 4 Tb 3.63
Pm2 0.5000 0.0000 0.0000 [1 per cell]  4 Tb 3.56, 8 Th 3.58-3.60
Pm3 0.5000 0.0000 0.5000 [1 per cell]  4 Pm 3.60, 4 Tb 3.61, 4 Th 3.63
Th1 0.0000 0.5000 0.0000 [1 per cell]  4 Th 3.56, 4 Tb 3.58, 4 Pm 3.60
Th2 0.5000 0.5000 0.2467 [2 per cell]  2 Th 3.56, 6 Pm 3.58-3.63, 4 Tb 3.60

=====

(6)
Entry from the Alexandria database: Mg5Ir after structural relaxation (PBE-GGA).

Values from the calculation:
The calculation puts the formation energy at -0.15 eV per atom. The magnetic moment comes out at 0.0 μB per cell.

Cell lengths 3.2471, 3.2471, 11.2859 Å; angles 90.00, 90.00, 90.00 degrees
Closest atoms and distances in Å follow each position.
Space group P4/mmm (No. 123)
Asymmetric unit:
Mg1 0.0000 0.0000 0.0000 [1 per cell]  12 Mg 3.13-3.25
Mg2 0.0000 0.0000 0.3735 [2 per cell]  4 Ir 2.70, 1 Mg 2.86
Mg3 0.5000 0.5000 0.1879 [2 per cell]  12 Mg 3.11-3.25
Ir1 0.5000 0.5000 0.5000 [1 per cell]  8 Mg 2.70